Crystalline ScCrCo2 at its relaxed geometry. Source: Alexandria via LeMat-Bulk, functional GGA-PBE.

Computed properties:
Offset from the most stable computed form (meV per atom): 243
Fermi-level density of states (states/eV/cell): 27.339
Formation energy from the elements (eV per atom): 0.213
Energy (eV per atom): -7.33
Total magnetic moment (μB per formula unit): 5.4

CIF file:
```
data_ScCrCo2
_chemical_formula_sum 'Sc4 Cr4 Co8'
_space_group_name_H-M_alt 'F -4 3 m'
_space_group_IT_number 216
_space_group_name_Hall 'F -4 2 3'
_cell_length_a 6.030
_cell_length_b 6.030
_cell_length_c 6.030
_cell_angle_alpha 90.00
_cell_angle_beta 90.00
_cell_angle_gamma 90.00
loop_
_atom_site_label
_atom_site_type_symbol
_atom_site_fract_x
_atom_site_fract_y
_atom_site_fract_z
Sc1 Sc 0.000 0.000 0.000
Cr1 Cr 0.250 0.250 0.750
Co1 Co 0.000 0.000 0.500
Co2 Co 0.250 0.250 0.250
```